Record 1
{"formula": "HoErPa2As4", "functional": "PBE", "state": "optimized geometry", "lattice": [[7.0719, 0.0000, 0.0000], [0.0000, 4.0892, 0.0000], [-2.3639, 0.0000, 6.6755]], "species": ["Ho", "Er", "Pa", "Pa", "As", "As", "As", "As"], "fractional_positions": [[0.0000, 0.0000, 0.0000], [0.0000, 0.5000, 0.5000], [0.5000, 0.0000, 0.5000], [0.5000, 0.5000, 0.0000], [0.2493, 0.0000, 0.7493], [0.2497, 0.5000, 0.2505], [0.7503, 0.5000, 0.7495], [0.7507, 0.0000, 0.2507]], "spacegroup": "P2/m, No. 10", "magnetic_moment_mub_per_fu": 0.002, "e_form_mev_per_atom": -1271, "dft_energy_ev_per_atom": -7.11}

Record 2
{"formula": "YTe2IN", "functional": "PBE", "state": "optimized geometry", "lattice": [[5.0246, 0.0000, 0.0000], [0.0000, 5.0246, 0.0000], [0.0000, 0.0000, 4.7793]], "species": ["Y", "Te", "Te", "I", "N"], "fractional_positions": [[0.0000, 0.0000, 0.0000], [0.0000, 0.5000, 0.5000], [0.5000, 0.0000, 0.5000], [0.5000, 0.5000, 0.0000], [0.5000, 0.5000, 0.5000]], "formation_energy_uncorrected_ev_per_atom": 0.128, "spacegroup": "P4/mmm, No. 123", "magnetic_moment_mub_per_fu": 0.000, "e_above_lowest_polymorph_ev_per_fu": 0.000, "dft_energy_ev_per_atom": -4.40}

Record 3
{"formula": "Mn3Mo", "functional": "PBE", "state": "optimized geometry", "lattice": [[-1.7790, 1.7790, 7.9216], [1.7790, -1.7790, 7.9216], [1.7790, 1.7790, -7.9216]], "species": ["Mn", "Mn", "Mn", "Mn", "Mn", "Mn", "Mo", "Mo"], "fractional_positions": [[0.0000, 0.5000, 0.5000], [0.1251, 0.1251, 0.0000], [0.2500, 0.7500, 0.5000], [0.5000, 0.0000, 0.5000], [0.7500, 0.2500, 0.5000], [0.8749, 0.8749, 0.0000], [0.3754, 0.3754, 0.0000], [0.6246, 0.6246, 0.0000]], "spacegroup": "I4/mmm, No. 139", "magnetic_moment_mub_per_fu": 3.971, "e_form_mev_per_atom": 190, "dft_energy_ev_per_atom": -9.39}